No. 1
The following is a DFT calculation (GGA-PBE) of crystalline CuBiRh2 at its relaxed geometry.

Computed properties:
* energy relative to the elements: 23 meV/atom

```
data_CuBiRh2
_chemical_formula_sum 'Cu1 Bi1 Rh2'
_space_group_name_H-M_alt 'P 4/m m m'
_space_group_IT_number 123
_space_group_name_Hall '-P 4 2'
_cell_length_a 4.185
_cell_length_b 4.185
_cell_length_c 3.705
_cell_angle_alpha 90.00
_cell_angle_beta 90.00
_cell_angle_gamma 90.00
loop_
_atom_site_label
_atom_site_type_symbol
_atom_site_fract_x
_atom_site_fract_y
_atom_site_fract_z
Cu1 Cu 0.000 0.000 0.000
Bi1 Bi 0.500 0.500 0.000
Rh1 Rh 0.000 0.500 0.500
```

No. 2
The following is a DFT calculation (GGA-PBE) of crystalline TbDyTc4 at its relaxed geometry.

Computed properties:
* energy relative to the elements: -129 meV/atom

```
data_TbDyTc4
_chemical_formula_sum 'Tb4 Dy4 Tc16'
_space_group_name_H-M_alt 'F -4 3 m'
_space_group_IT_number 216
_space_group_name_Hall 'F -4 2 3'
_cell_length_a 7.652
_cell_length_b 7.652
_cell_length_c 7.652
_cell_angle_alpha 90.00
_cell_angle_beta 90.00
_cell_angle_gamma 90.00
loop_
_atom_site_label
_atom_site_type_symbol
_atom_site_fract_x
_atom_site_fract_y
_atom_site_fract_z
Tb1 Tb 0.000 0.000 0.000
Dy1 Dy 0.250 0.250 0.750
Tc1 Tc 0.125 0.125 0.375
```

No. 3
The following is a DFT calculation (GGA-PBE) of crystalline Nb2CdH at its relaxed geometry.

Computed properties:
* E above lowest polymorph: 0.0000 eV/atom

```
data_Nb2CdH
_chemical_formula_sum 'Nb6 Cd3 H3'
_space_group_name_H-M_alt 'R -3 m'
_space_group_IT_number 166
_space_group_name_Hall '-R 3 2"'
_cell_length_a 2.9252
_cell_length_b 2.9252
_cell_length_c 25.9358
_cell_angle_alpha 90.00
_cell_angle_beta 90.00
_cell_angle_gamma 120.00
loop_
_atom_site_label
_atom_site_type_symbol
_atom_site_fract_x
_atom_site_fract_y
_atom_site_fract_z
Nb1 Nb 0.0000 0.0000 0.1155
Cd1 Cd 0.0000 0.0000 0.0000
H1 H 0.0000 0.0000 0.5000
```

No. 4
The following is a DFT calculation (GGA-PBE) of crystalline BaAlB4H3O10 at its relaxed geometry.

Computed properties:
* energy: -1087.92 eV for the cell shown

```
data_BaAlB4H3O10
_chemical_formula_sum 'Ba8 Al8 B32 H24 O80'
_space_group_name_H-M_alt 'C 1 2/c 1'
_space_group_IT_number 15
_cell_length_a 12.575
_cell_length_b 7.233
_cell_length_c 19.465
_cell_angle_alpha 90.00
_cell_angle_beta 108.29
_cell_angle_gamma 90.00
loop_
_space_group_symop_operation_xyz
'x,y,z'
'-x,-y,-z'
'-x,y,-z+1/2'
'x,-y,z+1/2'
'x+1/2,y+1/2,z'
'-x+1/2,-y+1/2,-z'
'-x+1/2,y+1/2,-z+1/2'
'x+1/2,-y+1/2,z+1/2'
loop_
_atom_site_label
_atom_site_type_symbol
_atom_site_fract_x
_atom_site_fract_y
_atom_site_fract_z
Ba1 Ba 0.201 0.184 0.102
Al1 Al 0.148 0.187 0.442
B1 B 0.004 0.497 0.078
B2 B 0.052 0.180 0.929
B3 B 0.152 0.256 0.601
B4 B 0.165 0.230 0.296
H1 H 0.038 0.204 0.202
H2 H 0.102 0.083 0.792
H3 H 0.157 0.193 0.740
O1 O 0.023 0.316 0.436
O2 O 0.057 0.125 0.587
O3 O 0.080 0.369 0.930
O4 O 0.104 0.173 0.340
O5 O 0.115 0.450 0.597
O6 O 0.120 0.228 0.221
O7 O 0.132 0.204 0.784
O8 O 0.141 0.063 0.951
O9 O 0.212 0.220 0.549
O10 O 0.225 0.210 0.676
```

No. 5
The following is a DFT calculation (GGA-PBE) of crystalline LaAsRu2 at its relaxed geometry.

Computed properties:
* energy relative to the elements: -324 meV/atom

```
data_LaAsRu2
_chemical_formula_sum 'La2 As2 Ru4'
_space_group_name_H-M_alt 'C 1 2/m 1'
_space_group_IT_number 12
_cell_length_a 7.447
_cell_length_b 4.204
_cell_length_c 5.282
_cell_angle_alpha 90.00
_cell_angle_beta 101.68
_cell_angle_gamma 90.00
loop_
_space_group_symop_operation_xyz
'x,y,z'
'-x,-y,-z'
'-x,y,-z'
'x,-y,z'
'x+1/2,y+1/2,z'
'-x+1/2,-y+1/2,-z'
'-x+1/2,y+1/2,-z'
'x+1/2,-y+1/2,z'
loop_
_atom_site_label
_atom_site_type_symbol
_atom_site_fract_x
_atom_site_fract_y
_atom_site_fract_z
La1 La 0.000 0.000 0.000
As1 As 0.000 0.500 0.500
Ru1 Ru 0.191 0.000 0.619
```

No. 6
The following is a DFT calculation (GGA-PBE) of crystalline YPd2Cl at its relaxed geometry.

Computed properties:
* E above lowest polymorph: 0.0000 eV/atom
* formation energy without anion corrections: -2.32 eV/f.u.

```
data_YPd2Cl
_chemical_formula_sum 'Y4 Pd8 Cl4'
_space_group_name_H-M_alt 'I -4 2 d'
_space_group_IT_number 122
_space_group_name_Hall 'I -4 2bw'
_cell_length_a 7.752
_cell_length_b 7.752
_cell_length_c 5.424
_cell_angle_alpha 90.00
_cell_angle_beta 90.00
_cell_angle_gamma 90.00
loop_
_atom_site_label
_atom_site_type_symbol
_atom_site_fract_x
_atom_site_fract_y
_atom_site_fract_z
Y1 Y 0.000 0.000 0.000
Pd1 Pd 0.231 0.250 0.625
Cl1 Cl 0.000 0.000 0.500
```

No. 7
The following is a DFT calculation (GGA-PBE) of crystalline Mn2FeRe at its relaxed geometry.

Computed properties:
* energy relative to the elements: 697 meV/atom

```
data_Mn2FeRe
_chemical_formula_sum 'Mn8 Fe4 Re4'
_space_group_name_H-M_alt 'I -4 2 d'
_space_group_IT_number 122
_space_group_name_Hall 'I -4 2bw'
_cell_length_a 3.462
_cell_length_b 3.462
_cell_length_c 17.372
_cell_angle_alpha 90.00
_cell_angle_beta 90.00
_cell_angle_gamma 90.00
loop_
_atom_site_label
_atom_site_type_symbol
_atom_site_fract_x
_atom_site_fract_y
_atom_site_fract_z
Mn1 Mn 0.194 0.250 0.125
Fe1 Fe 0.000 0.000 0.000
Re1 Re 0.000 0.000 0.500
```

No. 8
The following is a DFT calculation (GGA-PBE) of crystalline Ho3ThTe at its relaxed geometry.

Computed properties:
* formation energy without anion corrections: -1.68 eV/f.u.

```
data_Ho3ThTe
_chemical_formula_sum 'Ho6 Th2 Te2'
_space_group_name_H-M_alt 'P 1 21/m 1'
_space_group_IT_number 11
_cell_length_a 6.310
_cell_length_b 5.676
_cell_length_c 8.897
_cell_angle_alpha 90.00
_cell_angle_beta 106.92
_cell_angle_gamma 90.00
loop_
_space_group_symop_operation_xyz
'x,y,z'
'-x,-y,-z'
'-x,y+1/2,-z'
'x,-y+1/2,z'
loop_
_atom_site_label
_atom_site_type_symbol
_atom_site_fract_x
_atom_site_fract_y
_atom_site_fract_z
Ho1 Ho 0.183 0.250 0.081
Ho2 Ho 0.245 0.750 0.765
Ho3 Ho 0.303 0.250 0.492
Th1 Th 0.104 0.750 0.301
Te1 Te 0.479 0.250 0.853
```

no.,D(E_F) (states/eV per cell)
1,0.917
2,36.255
3,10.144
4,0.000
5,7.225
6,4.962
7,23.044
8,10.527